Record 1
This record from Alexandria via LeMat-Bulk describes a relaxed LaMg6Pb6 crystal. The functional is PBE.

Properties
SG: Immm
ΔH_f (0 K) (eV/atom): -0.131

```
LaMg6Pb6
1.0
-3.1380 5.1624 5.4263
3.1380 -5.1624 5.4263
3.1380 5.1624 -5.4263
La Mg Pb
1 6 6
Direct
0.0000 0.0000 0.0000
0.0000 0.0000 0.5000
0.0000 0.5000 0.0000
0.2496 0.5000 0.7496
0.5000 0.0000 0.0000
0.5000 0.5000 0.5000
0.7504 0.5000 0.2504
0.1628 0.6628 0.5000
0.3325 0.3325 0.0000
0.3390 0.0000 0.3390
0.6610 0.0000 0.6610
0.6675 0.6675 0.0000
0.8372 0.3372 0.5000
```


Record 2
This record from Alexandria via LeMat-Bulk describes a relaxed LaMg2Pb crystal. The functional is PBE.

Properties
SG: Pmmm
ΔH_f (0 K) (eV/atom): -0.139

```
LaMg2Pb
1.0
3.6228 0.0000 0.0000
0.0000 4.4423 0.0000
0.0000 0.0000 7.0245
La Mg Pb
1 2 1
Direct
0.0000 0.0000 0.0000
0.5000 0.5000 0.2743
0.5000 0.5000 0.7257
0.0000 0.0000 0.5000
```


Record 3
This record from Alexandria via LeMat-Bulk describes a relaxed LaMg2Pb crystal. The functional is PBE.

Properties
SG: Pmm2
ΔH_f (0 K) (eV/atom): -0.198

```
LaMg2Pb
1.0
3.3544 0.0000 0.0000
0.0000 4.4704 0.0000
0.0000 0.0000 7.4002
La Mg Pb
1 2 1
Direct
0.0000 0.0000 0.0000
0.0000 0.0000 0.4955
0.5000 0.5000 0.2933
0.5000 0.5000 0.7228
```


Record 4
This record from Alexandria via LeMat-Bulk describes a relaxed LaMg2Pb crystal. The functional is PBE.

Properties
SG: P4/mmm
ΔH_f (0 K) (eV/atom): -0.330

```
LaMg2Pb
1.0
4.7255 0.0000 0.0000
0.0000 4.7255 0.0000
0.0000 0.0000 4.9914
La Mg Pb
1 2 1
Direct
0.0000 0.0000 0.0000
0.0000 0.5000 0.5000
0.5000 0.0000 0.5000
0.5000 0.5000 0.0000
```


Record 5
This record from Alexandria via LeMat-Bulk describes a relaxed La3Mg7Pb4 crystal. The functional is PBE.

Properties
SG: C2/m
ΔH_f (0 K) (eV/atom): -0.338

```
La3Mg7Pb4
1.0
8.8338 -2.3851 0.0000
8.8338 2.3851 0.0000
-6.3714 0.0000 9.0943
La Mg Pb
3 7 4
Direct
0.0000 0.0000 0.0000
0.3082 0.3082 0.3041
0.6918 0.6918 0.6959
0.0000 0.0000 0.5000
0.1541 0.1541 0.4336
0.3228 0.3228 0.9796
0.4894 0.4894 0.6774
0.5106 0.5106 0.3226
0.6772 0.6772 0.0204
0.8459 0.8459 0.5664
0.1187 0.1187 0.8393
0.3482 0.3482 0.7389
0.6518 0.6518 0.2611
0.8813 0.8813 0.1607
```


Record 6
This record from Alexandria via LeMat-Bulk describes a relaxed LaMgPb2 crystal. The functional is PBE.

Properties
SG: Imm2
ΔH_f (0 K) (eV/atom): -0.354

```
LaMgPb2
1.0
4.6111 0.0000 0.0000
0.0000 4.6719 0.0000
0.0000 0.0000 10.8810
La Mg Pb
2 2 4
Direct
0.0000 0.0000 0.0000
0.5000 0.5000 0.5000
0.0000 0.5000 0.2483
0.5000 0.0000 0.7483
0.0000 0.0000 0.4920
0.0000 0.5000 0.7484
0.5000 0.0000 0.2484
0.5000 0.5000 0.9920
```


Record 7
This record from Alexandria via LeMat-Bulk describes a relaxed LaMgPb2 crystal. The functional is PBE.

Properties
SG: P4/mmm
ΔH_f (0 K) (eV/atom): -0.291

```
LaMgPb2
1.0
3.8908 0.0000 0.0000
0.0000 3.8908 0.0000
0.0000 0.0000 7.5946
La Mg Pb
1 1 2
Direct
0.0000 0.0000 0.0000
0.0000 0.0000 0.5000
0.5000 0.5000 0.2832
0.5000 0.5000 0.7168
```


Record 8
This record from Alexandria via LeMat-Bulk describes a relaxed LaMgPb3 crystal. The functional is PBE.

Properties
SG: Pm-3m
ΔH_f (0 K) (eV/atom): 0.619
Polymorph energy (0 for the lowest one) (meV per atom): 812

```
LaMgPb3
1.0
6.1451 0.0000 0.0000
0.0000 6.1451 0.0000
0.0000 0.0000 6.1451
La Mg Pb
1 1 3
Direct
0.0000 0.0000 0.0000
0.5000 0.5000 0.5000
0.0000 0.0000 0.5000
0.0000 0.5000 0.0000
0.5000 0.0000 0.0000
```


Record 9
This record from Alexandria via LeMat-Bulk describes a relaxed La3MgPb3 crystal. The functional is PBE.

Properties
SG: P6_3/m
ΔH_f (0 K) (eV/atom): -0.343

```
La3MgPb3
1.0
9.7087 0.0000 0.0000
-4.8544 8.4080 0.0000
0.0000 0.0000 6.5803
La Mg Pb
6 2 6
Direct
0.0503 0.6905 0.2500
0.3095 0.3598 0.2500
0.3598 0.0503 0.7500
0.6402 0.9497 0.2500
0.6905 0.6402 0.7500
0.9497 0.3095 0.7500
0.3333 0.6667 0.7500
0.6667 0.3333 0.2500
0.0433 0.6894 0.7500
0.3106 0.3539 0.7500
0.3539 0.0433 0.2500
0.6461 0.9567 0.7500
0.6894 0.6461 0.2500
0.9567 0.3106 0.2500
```


Record 10
This record from Alexandria via LeMat-Bulk describes a relaxed La4Mg3Pb crystal. The functional is PBE.

Properties
SG: P4/mmm
ΔH_f (0 K) (eV/atom): -0.224

```
La4Mg3Pb
1.0
3.9784 0.0000 0.0000
0.0000 3.9784 0.0000
0.0000 0.0000 15.9029
La Mg Pb
4 3 1
Direct
0.0000 0.0000 0.1253
0.0000 0.0000 0.3723
0.0000 0.0000 0.6277
0.0000 0.0000 0.8747
0.5000 0.5000 0.0000
0.5000 0.5000 0.2447
0.5000 0.5000 0.7553
0.5000 0.5000 0.5000
```


Record 11
This record from Alexandria via LeMat-Bulk describes a relaxed LaMg2Pb crystal. The functional is PBE.

Properties
SG: R-3m
ΔH_f (0 K) (eV/atom): -0.008

```
LaMg2Pb
1.0
3.4169 0.0000 0.0000
-1.7085 2.9591 0.0000
0.0000 0.0000 34.1288
La Mg Pb
3 6 3
Direct
0.0000 0.0000 0.0000
0.3333 0.6667 0.6667
0.6667 0.3333 0.3333
0.0000 0.0000 0.2470
0.0000 0.0000 0.7530
0.3333 0.6667 0.4197
0.3333 0.6667 0.9136
0.6667 0.3333 0.0864
0.6667 0.3333 0.5803
0.0000 0.0000 0.5000
0.3333 0.6667 0.1667
0.6667 0.3333 0.8333
```


Record 12
This record from Alexandria via LeMat-Bulk describes a relaxed LaMg2Pb crystal. The functional is PBE.

Properties
SG: Cm
ΔH_f (0 K) (eV/atom): -0.139

```
LaMg2Pb
1.0
10.2303 0.0000 0.0000
0.0000 3.6182 0.0000
-1.2744 0.0000 6.2426
La Mg Pb
2 4 2
Direct
0.0000 0.0000 0.0000
0.5000 0.5000 0.0000
0.0008 0.5000 0.4851
0.2609 0.5000 0.3037
0.5008 0.0000 0.4851
0.7609 0.0000 0.3037
0.2393 0.0000 0.7147
0.7393 0.5000 0.7147
```


> What is the formula in the eighth record?

LaMgPb3


Copy entry 1 word for word.
This record from Alexandria via LeMat-Bulk describes a relaxed LaMg6Pb6 crystal. The functional is PBE.

Properties
SG: Immm
ΔH_f (0 K) (eV/atom): -0.131

```
LaMg6Pb6
1.0
-3.1380 5.1624 5.4263
3.1380 -5.1624 5.4263
3.1380 5.1624 -5.4263
La Mg Pb
1 6 6
Direct
0.0000 0.0000 0.0000
0.0000 0.0000 0.5000
0.0000 0.5000 0.0000
0.2496 0.5000 0.7496
0.5000 0.0000 0.0000
0.5000 0.5000 0.5000
0.7504 0.5000 0.2504
0.1628 0.6628 0.5000
0.3325 0.3325 0.0000
0.3390 0.0000 0.3390
0.6610 0.0000 0.6610
0.6675 0.6675 0.0000
0.8372 0.3372 0.5000
```


> Which of these has the highest ΔH_f (0 K)?

LaMgPb3


> What is the ΔH_f (0 K) in the eighth record?

0.619 eV/atom